# Li2AgF3

A PBEsol-optimized structure of Li2AgF3 (SCAN, Alexandria via LeMat-Bulk).

CIF file:
```
data_Li2AgF3
_cell_length_a 9.1141
_cell_length_b 5.2674
_cell_length_c 5.2912
_cell_angle_alpha 90.00
_cell_angle_beta 90.00
_cell_angle_gamma 90.00
_symmetry_space_group_name_H-M 'C m c m'
_symmetry_Int_Tables_number 63
_symmetry_space_group_name_Hall '-C 2c 2'
loop_
_atom_site_label
_atom_site_type_symbol
_atom_site_fract_x
_atom_site_fract_y
_atom_site_fract_z
Li1 Li 0.1667 0.0000 0.0000
Ag1 Ag 0.0000 0.4993 0.2500
F1 F 0.0000 0.0771 0.2500
F2 F 0.2113 0.2887 0.7500
```

total moment: 0.00 μB per formula unit
energy above the most stable polymorph in this dataset: 0.068 eV/atom